(1)
VASP calculation (GGA-PBE) on PrGdHg4 after structural relaxation.

Cell lengths 6.015, 6.015, 6.015 Å; angles 60.00, 60.00, 60.00 degrees
Site moments in Bohr magnetons follow the coordinates.
Positions (direct):
Pr 0.250 0.250 0.250  0.05
Gd 0.000 0.000 0.000  7.08
Hg 0.625 0.625 0.125  0.00
Hg 0.625 0.125 0.625  0.00
Hg 0.625 0.625 0.625  0.00
Hg 0.125 0.625 0.625  0.00

Its electronic total energy is -3.612 eV/atom. The calculation puts the total moment at 7.4 μB/f.u. The energy of formation from the pure elements comes out at -1.6 eV/f.u. The density comes out at 11873 kg/m³.

(2)
VASP calculation (GGA-PBE) on PrGdHg after structural relaxation.

Cell lengths 3.827, 5.231, 5.231 Å; angles 120.00, 90.00, 90.00 degrees
Site moments in Bohr magnetons follow the coordinates.
Positions (direct):
Pr 0.972 0.000 0.000  -0.04
Gd 0.423 0.333 0.667  -7.15
Hg 0.605 0.667 0.333  -0.01

Its electronic total energy is -6.579 eV/atom. The calculation puts the total moment at 7.5 μB/f.u. The energy of formation from the pure elements comes out at -0.6 eV/f.u. The density comes out at 9132 kg/m³. The value obtained for the energy above the most stable polymorph in this dataset is 132.5 meV/atom.

(3)
VASP calculation (GGA-PBE) on PrGdHg after structural relaxation.

Cell lengths 3.753, 3.753, 6.921 Å; angles 105.73, 105.73, 90.00 degrees
Site moments in Bohr magnetons follow the coordinates.
Positions (direct):
Pr 0.606 0.606 0.212  -0.10
Gd 0.301 0.301 0.601  -7.24
Hg 0.943 0.943 0.886  0.02

Its electronic total energy is -6.712 eV/atom. The calculation puts the total moment at 7.8 μB/f.u. The energy of formation from the pure elements comes out at -1.0 eV/f.u. The density comes out at 9201 kg/m³. The value obtained for the energy above the most stable polymorph in this dataset is 0.0 meV/atom.

(4)
VASP calculation (GGA-PBE) on PrGdHg2 after structural relaxation.

Cell lengths 3.856, 3.856, 9.620 Å; angles 78.44, 78.44, 60.00 degrees
Site moments in Bohr magnetons follow the coordinates.
Positions (direct):
Pr 0.500 0.500 0.500  0.15
Gd 0.000 0.000 0.000  7.16
Hg 0.747 0.747 0.758  0.03
Hg 0.253 0.253 0.242  0.03

Its electronic total energy is -5.196 eV/atom. The calculation puts the total moment at 8.0 μB/f.u. The energy of formation from the pure elements comes out at -1.3 eV/f.u. The density comes out at 9635 kg/m³. The value obtained for the energy above the most stable polymorph in this dataset is 160.9 meV/atom.

(5)
VASP calculation (GGA-PBE) on PrGdHg after structural relaxation.

Cell lengths 5.225, 5.225, 5.225 Å; angles 60.00, 60.00, 60.00 degrees
Site moments in Bohr magnetons follow the coordinates.
Positions (direct):
Pr 0.500 0.500 0.500  0.22
Gd 0.000 0.000 0.000  7.27
Hg 0.250 0.250 0.250  0.02

Its electronic total energy is -6.520 eV/atom. The calculation puts the total moment at 8.2 μB/f.u. The energy of formation from the pure elements comes out at -0.4 eV/f.u. The density comes out at 8211 kg/m³. The value obtained for the energy above the most stable polymorph in this dataset is 191.4 meV/atom.

(6)
VASP calculation (GGA-PBE) on PrGdHg2 after structural relaxation.

Cell lengths 5.388, 5.388, 5.388 Å; angles 60.00, 60.00, 60.00 degrees
Site moments in Bohr magnetons follow the coordinates.
Positions (direct):
Pr 0.000 0.000 0.000  0.17
Gd 0.500 0.500 0.500  7.20
Hg 0.250 0.250 0.250  0.01
Hg 0.750 0.750 0.750  0.01

Its electronic total energy is -5.357 eV/atom. The calculation puts the total moment at 7.9 μB/f.u. The energy of formation from the pure elements comes out at -2.0 eV/f.u. The density comes out at 10500 kg/m³. The value obtained for the energy above the most stable polymorph in this dataset is 0.0 meV/atom.